Record 1
Compound: HoEr6Th3
Source: Alexandria via LeMat-Bulk
Functional: PBE
Structure: optimized geometry

Calculated values
- E above lowest polymorph (eV per formula unit) = 2.84
- total energy (eV per formula unit) = -50.6
- ΔE_f (eV/atom) = 0.364

a = 6.9019 Å, b = 6.9019 Å, c = 6.9019 Å
α = 90.26°, β = 90.26°, γ = 90.26°
Closest atoms and distances in Å follow each position.
Positions (direct):
Ho: 0.0000 0.0000 0.0000  2 Th 2.96
Er: 0.0804 0.4154 0.7490  2 Th 3.25-3.42, 1 Ho 3.40
Er: 0.2510 0.9196 0.5846  2 Th 3.25-3.42, 1 Ho 3.40
Er: 0.4154 0.7490 0.0804  2 Th 3.25-3.42, 1 Ho 3.40
Er: 0.5846 0.2510 0.9196  2 Th 3.25-3.42, 1 Ho 3.40
Er: 0.7490 0.0804 0.4154  2 Th 3.25-3.42, 1 Ho 3.40
Er: 0.9196 0.5846 0.2510  2 Th 3.25-3.42, 1 Ho 3.40
Th: 0.2489 0.2489 0.2489  1 Ho 2.96, 1 Th 2.99, 3 Er 3.25
Th: 0.5000 0.5000 0.5000  2 Th 2.99
Th: 0.7511 0.7511 0.7511  1 Ho 2.96, 1 Th 2.99, 3 Er 3.25



Record 2
Compound: HoEr5Th5
Source: Alexandria via LeMat-Bulk
Functional: PBE
Structure: optimized geometry

Calculated values
- total energy (eV per formula unit) = -60.2
- ΔE_f (eV/atom) = 0.392

a = 6.2792 Å, b = 6.2792 Å, c = 11.1137 Å
α = 90.00°, β = 90.00°, γ = 120.00°
Closest atoms and distances in Å follow each position.
Positions (direct):
Ho: 0.0000 0.0000 0.0000  5 Er 3.63
Er: 0.0000 0.0000 0.3270  1 Ho 3.63, 9 Th 3.68, 4 Er 3.84-3.97
Er: 0.0000 0.0000 0.6730  1 Ho 3.63, 9 Th 3.68, 4 Er 3.84-3.97
Er: 0.3333 0.6667 0.1808  6 Th 3.75-3.95, 7 Er 3.97-4.15, 3 Ho 4.15
Er: 0.3333 0.6667 0.8192  6 Th 3.75-3.95, 7 Er 3.97-4.15, 3 Ho 4.15
Er: 0.6667 0.3333 0.0000  2 Th 2.98
Th: 0.0132 0.5066 0.5000  6 Th 3.01-3.26
Th: 0.4934 0.5066 0.5000  6 Th 3.01-3.26
Th: 0.4934 0.9868 0.5000  6 Th 3.01-3.26
Th: 0.6667 0.3333 0.2684  1 Er 2.98, 3 Th 3.19
Th: 0.6667 0.3333 0.7316  1 Er 2.98, 3 Th 3.19



Record 3
Compound: HoErTh6
Source: Alexandria via LeMat-Bulk
Functional: PBE
Structure: optimized geometry

Calculated values
- E above lowest polymorph (eV per formula unit) = 0.00
- total energy (eV per formula unit) = -53.2
- ΔE_f (eV/atom) = 0.055

a = 5.0414 Å, b = 5.0414 Å, c = 10.0833 Å
α = 90.00°, β = 90.00°, γ = 90.00°
Closest atoms and distances in Å follow each position.
Positions (direct):
Ho: 0.0000 0.0000 0.0000  12 Th 3.56-3.57
Er: 0.0000 0.0000 0.5000  12 Th 3.56
Th: 0.0000 0.5000 0.2504  8 Th 3.56-3.57, 2 Er 3.56, 2 Ho 3.57
Th: 0.0000 0.5000 0.7496  8 Th 3.56-3.57, 2 Er 3.56, 2 Ho 3.57
Th: 0.5000 0.0000 0.2504  8 Th 3.56-3.57, 2 Er 3.56, 2 Ho 3.57
Th: 0.5000 0.0000 0.7496  8 Th 3.56-3.57, 2 Er 3.56, 2 Ho 3.57
Th: 0.5000 0.5000 0.0000  4 Ho 3.56, 8 Th 3.57
Th: 0.5000 0.5000 0.5000  8 Th 3.56, 4 Er 3.56



Record 4
Compound: Ho4Er2Th
Source: Alexandria via LeMat-Bulk
Functional: PBE
Structure: optimized geometry

Calculated values
- E above lowest polymorph (eV per formula unit) = 0.90
- total energy (eV per formula unit) = -33.8
- ΔE_f (eV/atom) = 0.149

a = 6.1286 Å, b = 6.4865 Å, c = 11.4419 Å
α = 90.00°, β = 104.78°, γ = 90.00°
Closest atoms and distances in Å follow each position.
Positions (direct):
Ho: 0.1456 0.2500 0.1694  2 Er 3.24-3.37, 3 Th 3.31-3.46, 2 Ho 3.42
Ho: 0.2850 0.7500 0.4205  4 Er 3.33-3.40, 4 Ho 3.45-3.64, 1 Th 3.46
Ho: 0.3500 0.5074 0.7140  4 Ho 3.15-3.45, 1 Th 3.31, 1 Er 3.37
Ho: 0.3500 0.9926 0.7140  4 Ho 3.15-3.45, 1 Th 3.31, 1 Er 3.37
Ho: 0.6500 0.0074 0.2860  4 Ho 3.15-3.45, 1 Th 3.31, 1 Er 3.37
Ho: 0.6500 0.4926 0.2860  4 Ho 3.15-3.45, 1 Th 3.31, 1 Er 3.37
Ho: 0.7150 0.2500 0.5795  4 Er 3.33-3.40, 4 Ho 3.45-3.64, 1 Th 3.46
Ho: 0.8544 0.7500 0.8306  2 Er 3.24-3.37, 3 Th 3.31-3.46, 2 Ho 3.42
Er: 0.1485 0.2500 0.4534  9 Ho 3.24-3.53
Er: 0.3862 0.7500 0.0076  2 Th 3.34, 5 Ho 3.37-3.66, 2 Er 3.55
Er: 0.6138 0.2500 0.9924  2 Th 3.34, 5 Ho 3.37-3.66, 2 Er 3.55
Er: 0.8515 0.7500 0.5466  9 Ho 3.24-3.53
Th: 0.0562 0.2500 0.8720  6 Ho 3.31-3.46, 2 Er 3.34
Th: 0.9438 0.7500 0.1280  6 Ho 3.31-3.46, 2 Er 3.34



Record 5
Compound: Ho4ErTh2
Source: Alexandria via LeMat-Bulk
Functional: PBE
Structure: optimized geometry

Calculated values
- E above lowest polymorph (eV per formula unit) = 0.00
- total energy (eV per formula unit) = -36.9
- ΔE_f (eV/atom) = 0.114

a = 3.4609 Å, b = 8.4689 Å, c = 8.6917 Å
α = 117.51°, β = 90.23°, γ = 98.44°
Closest atoms and distances in Å follow each position.
Positions (direct):
Ho: 0.0466 0.0536 0.2168  7 Ho 3.45-3.70, 1 Er 3.46, 4 Th 3.50-3.68
Ho: 0.3614 0.6477 0.9213  1 Er 3.44, 7 Ho 3.46-3.70, 2 Th 3.50-3.54
Ho: 0.6386 0.3523 0.0787  1 Er 3.44, 7 Ho 3.46-3.70, 2 Th 3.50-3.54
Ho: 0.9534 0.9464 0.7832  7 Ho 3.45-3.70, 1 Er 3.46, 4 Th 3.50-3.68
Er: 0.0000 0.5000 0.5000  2 Th 3.25, 4 Ho 3.44-3.46, 2 Er 3.46
Th: 0.4116 0.7814 0.3675  1 Er 3.25, 3 Th 3.29-3.46, 5 Ho 3.50-3.63
Th: 0.5884 0.2186 0.6325  1 Er 3.25, 3 Th 3.29-3.46, 5 Ho 3.50-3.63



Record 6
Compound: Ho4Er3Th2
Source: Alexandria via LeMat-Bulk
Functional: PBE
Structure: optimized geometry

Calculated values
- E above lowest polymorph (eV per formula unit) = 0.00
- total energy (eV per formula unit) = -46.6
- ΔE_f (eV/atom) = 0.029

a = 7.9069 Å, b = 7.9069 Å, c = 7.8942 Å
α = 107.48°, β = 107.48°, γ = 36.95°
Closest atoms and distances in Å follow each position.
Positions (direct):
Ho: 0.0550 0.0550 0.3330  4 Ho 3.53-3.56, 6 Er 3.53-3.58, 2 Th 3.54
Ho: 0.2778 0.2778 0.6714  3 Th 3.49-3.51, 4 Er 3.52-3.61, 5 Ho 3.55-3.59
Ho: 0.7222 0.7222 0.3286  3 Th 3.49-3.51, 4 Er 3.52-3.61, 5 Ho 3.55-3.59
Ho: 0.9450 0.9450 0.6670  4 Ho 3.53-3.56, 6 Er 3.53-3.58, 2 Th 3.54
Er: 0.3878 0.3878 0.3257  3 Th 3.48-3.50, 2 Er 3.49-3.61, 7 Ho 3.53-3.61
Er: 0.5000 0.5000 0.0000  2 Er 3.49, 6 Ho 3.52-3.53, 4 Th 3.55
Er: 0.6122 0.6122 0.6743  3 Th 3.48-3.50, 2 Er 3.49-3.61, 7 Ho 3.53-3.61
Th: 0.1678 0.1678 0.0008  5 Er 3.48-3.55, 5 Ho 3.49-3.54, 2 Th 3.52
Th: 0.8322 0.8322 0.9992  5 Er 3.48-3.55, 5 Ho 3.49-3.54, 2 Th 3.52



Record 7
Compound: HoEr2Th
Source: Alexandria via LeMat-Bulk
Functional: PBE
Structure: optimized geometry

Calculated values
- E above lowest polymorph (eV per formula unit) = 0.35
- total energy (eV per formula unit) = -20.8
- ΔE_f (eV/atom) = 0.079

a = 3.4911 Å, b = 5.5916 Å, c = 13.0273 Å
α = 89.97°, β = 89.93°, γ = 90.00°
Closest atoms and distances in Å follow each position.
Positions (direct):
Ho: 0.2483 0.2493 0.2972  9 Er 3.46-3.77, 2 Ho 3.49, 2 Th 3.74-3.75
Ho: 0.7517 0.7507 0.7028  9 Er 3.46-3.77, 2 Ho 3.49, 2 Th 3.74-3.75
Er: 0.2506 0.2504 0.5628  6 Er 3.29-3.68, 1 Ho 3.46
Er: 0.2521 0.2507 0.8153  3 Er 3.29-3.49, 4 Th 3.35-3.44, 4 Ho 3.60-3.61
Er: 0.7479 0.7493 0.1847  3 Er 3.29-3.49, 4 Th 3.35-3.44, 4 Ho 3.60-3.61
Er: 0.7494 0.7496 0.4372  6 Er 3.29-3.68, 1 Ho 3.46
Th: 0.2492 0.7500 0.9572  4 Er 3.35-3.44, 6 Th 3.48-3.49, 2 Ho 3.74-3.75
Th: 0.7508 0.2500 0.0428  4 Er 3.35-3.44, 6 Th 3.48-3.49, 2 Ho 3.74-3.75



Record 8
Compound: Ho4Er5Th
Source: Alexandria via LeMat-Bulk
Functional: PBE
Structure: optimized geometry

Calculated values
- E above lowest polymorph (eV per formula unit) = 0.00
- total energy (eV per formula unit) = -46.7
- ΔE_f (eV/atom) = 0.182

a = 8.6844 Å, b = 8.6844 Å, c = 10.8618 Å
α = 90.50°, β = 90.50°, γ = 23.45°
Closest atoms and distances in Å follow each position.
Positions (direct):
Ho: 0.0254 0.0254 0.2485  4 Er 3.25-3.34, 2 Th 3.28, 4 Ho 3.48-3.53
Ho: 0.3489 0.3489 0.2538  4 Ho 3.48-3.53, 1 Th 3.69, 7 Er 3.70-3.79
Ho: 0.6511 0.6511 0.7462  4 Ho 3.48-3.53, 1 Th 3.69, 7 Er 3.70-3.79
Ho: 0.9746 0.9746 0.7515  4 Er 3.25-3.34, 2 Th 3.28, 4 Ho 3.48-3.53
Er: 0.1717 0.1717 0.4486  1 Ho 3.29, 4 Er 3.38-3.53, 2 Th 3.46
Er: 0.1734 0.1734 0.0485  6 Er 3.33-3.53, 2 Ho 3.34-3.71
Er: 0.5000 0.5000 0.0000  4 Ho 3.25, 6 Er 3.47-3.53
Er: 0.8266 0.8266 0.9515  6 Er 3.33-3.53, 2 Ho 3.34-3.71
Er: 0.8283 0.8283 0.5514  1 Ho 3.29, 4 Er 3.38-3.53, 2 Th 3.46
Th: 0.5000 0.5000 0.5000  4 Ho 3.28, 4 Er 3.46, 2 Th 3.53



Record 9
Compound: Ho4Er2Th5
Source: Alexandria via LeMat-Bulk
Functional: PBE
Structure: optimized geometry

Calculated values
- total energy (eV per formula unit) = -63.1
- ΔE_f (eV/atom) = 0.127

a = 8.7778 Å, b = 3.4644 Å, c = 11.5854 Å
α = 90.00°, β = 94.66°, γ = 90.00°
Closest atoms and distances in Å follow each position.
Positions (direct):
Ho: 0.1604 0.0000 0.3983  3 Ho 3.46-3.82, 2 Er 3.55, 8 Th 3.56-3.78
Ho: 0.2903 0.0000 0.9462  3 Ho 3.46-3.79, 4 Er 3.57, 6 Th 3.60-3.64
Ho: 0.7097 0.0000 0.0538  3 Ho 3.46-3.79, 4 Er 3.57, 6 Th 3.60-3.64
Ho: 0.8396 0.0000 0.6017  3 Ho 3.46-3.82, 2 Er 3.55, 8 Th 3.56-3.78
Er: 0.0579 0.5000 0.1359  3 Er 3.23-3.46, 2 Th 3.30-3.31, 6 Ho 3.55-3.57
Er: 0.9421 0.5000 0.8641  3 Er 3.23-3.46, 2 Th 3.30-3.31, 6 Ho 3.55-3.57
Th: 0.2014 0.5000 0.6722  1 Er 3.31, 4 Th 3.42-3.46, 6 Ho 3.61-3.65
Th: 0.4293 0.5000 0.2084  1 Er 3.30, 4 Th 3.38-3.46, 4 Ho 3.60-3.62
Th: 0.5000 0.5000 0.5000  6 Th 3.38-3.46, 4 Ho 3.56
Th: 0.5707 0.5000 0.7916  1 Er 3.30, 4 Th 3.38-3.46, 4 Ho 3.60-3.62
Th: 0.7986 0.5000 0.3278  1 Er 3.31, 4 Th 3.42-3.46, 6 Ho 3.61-3.65



Record 10
Compound: Ho7ErTh3
Source: Alexandria via LeMat-Bulk
Functional: PBE
Structure: optimized geometry

Calculated values
- E above lowest polymorph (eV per formula unit) = 0.61
- total energy (eV per formula unit) = -56.6
- ΔE_f (eV/atom) = 0.208

a = 7.0413 Å, b = 7.0413 Å, c = 8.4916 Å
α = 90.00°, β = 90.00°, γ = 120.00°
Closest atoms and distances in Å follow each position.
Positions (direct):
Ho: 0.0000 0.0000 0.0000  3 Th 3.46, 9 Ho 3.52
Ho: 0.1655 0.3310 0.3395  2 Th 3.47, 7 Ho 3.50-3.55, 2 Er 3.52
Ho: 0.1655 0.8345 0.3395  2 Th 3.47, 7 Ho 3.50-3.55, 2 Er 3.52
Ho: 0.5012 0.0025 0.0033  2 Th 3.47, 8 Ho 3.49-3.55, 1 Er 3.52
Ho: 0.5012 0.4988 0.0033  2 Th 3.47, 8 Ho 3.49-3.55, 1 Er 3.52
Ho: 0.6690 0.8345 0.3395  2 Th 3.47, 7 Ho 3.50-3.55, 2 Er 3.52
Ho: 0.9975 0.4988 0.0033  2 Th 3.47, 8 Ho 3.49-3.55, 1 Er 3.52
Er: 0.6667 0.3333 0.3423  3 Th 3.45, 9 Ho 3.52
Th: 0.3336 0.1668 0.6712  1 Er 3.45, 5 Ho 3.46-3.47, 4 Th 3.52
Th: 0.8332 0.1668 0.6712  1 Er 3.45, 5 Ho 3.46-3.47, 4 Th 3.52
Th: 0.8332 0.6664 0.6712  1 Er 3.45, 5 Ho 3.46-3.47, 4 Th 3.52



What did the fourth record say?
Compound: Ho4Er2Th
Source: Alexandria via LeMat-Bulk
Functional: PBE
Structure: optimized geometry

Calculated values
- E above lowest polymorph (eV per formula unit) = 0.90
- total energy (eV per formula unit) = -33.8
- ΔE_f (eV/atom) = 0.149

a = 6.1286 Å, b = 6.4865 Å, c = 11.4419 Å
α = 90.00°, β = 104.78°, γ = 90.00°
Closest atoms and distances in Å follow each position.
Positions (direct):
Ho: 0.1456 0.2500 0.1694  2 Er 3.24-3.37, 3 Th 3.31-3.46, 2 Ho 3.42
Ho: 0.2850 0.7500 0.4205  4 Er 3.33-3.40, 4 Ho 3.45-3.64, 1 Th 3.46
Ho: 0.3500 0.5074 0.7140  4 Ho 3.15-3.45, 1 Th 3.31, 1 Er 3.37
Ho: 0.3500 0.9926 0.7140  4 Ho 3.15-3.45, 1 Th 3.31, 1 Er 3.37
Ho: 0.6500 0.0074 0.2860  4 Ho 3.15-3.45, 1 Th 3.31, 1 Er 3.37
Ho: 0.6500 0.4926 0.2860  4 Ho 3.15-3.45, 1 Th 3.31, 1 Er 3.37
Ho: 0.7150 0.2500 0.5795  4 Er 3.33-3.40, 4 Ho 3.45-3.64, 1 Th 3.46
Ho: 0.8544 0.7500 0.8306  2 Er 3.24-3.37, 3 Th 3.31-3.46, 2 Ho 3.42
Er: 0.1485 0.2500 0.4534  9 Ho 3.24-3.53
Er: 0.3862 0.7500 0.0076  2 Th 3.34, 5 Ho 3.37-3.66, 2 Er 3.55
Er: 0.6138 0.2500 0.9924  2 Th 3.34, 5 Ho 3.37-3.66, 2 Er 3.55
Er: 0.8515 0.7500 0.5466  9 Ho 3.24-3.53
Th: 0.0562 0.2500 0.8720  6 Ho 3.31-3.46, 2 Er 3.34
Th: 0.9438 0.7500 0.1280  6 Ho 3.31-3.46, 2 Er 3.34